A plane-wave DFT calculation with GGA-PBE was carried out for ZnIn2As after structural relaxation.

Values from the calculation:
- Volume: 22.505 Å³/atom
- Formation energy from the elements: 0.6 eV/f.u.
- VASP energy: -32.40 eV/cell
- Energy relative to the lowest polymorph listed for this composition: 0.434 eV/f.u.

```
data_ZnIn2As
_chemical_formula_sum 'Zn3 In6 As3'
_cell_length_a 3.2073
_cell_length_b 3.2073
_cell_length_c 30.3148
_cell_angle_alpha 90.00
_cell_angle_beta 90.00
_cell_angle_gamma 120.00
_symmetry_space_group_name_H-M 'R 3 m'
_symmetry_Int_Tables_number 160
_symmetry_space_group_name_Hall 'R 3 -2"'
loop_
_atom_site_label
_atom_site_type_symbol
_atom_site_fract_x
_atom_site_fract_y
_atom_site_fract_z
_atom_site_occupancy
Zn1 Zn 0.0000 0.0000 0.0000 1
In1 In 0.0000 0.0000 0.5079 1
In2 In 0.0000 0.0000 0.7447 1
As1 As 0.0000 0.0000 0.2682 1
```